[1]
Material: Re2OsRu
Method: DFT, PBE
State: relaxed

```
data_Re2OsRu
_symmetry_space_group_name_H-M 'P 1'
_symmetry_Int_Tables_number 1
_symmetry_space_group_name_Hall 'P 1'
_cell_length_a 9.126
_cell_length_b 9.126
_cell_length_c 9.126
_cell_angle_alpha 17.25
_cell_angle_beta 17.25
_cell_angle_gamma 17.25
loop_
_atom_site_label
_atom_site_fract_x
_atom_site_fract_y
_atom_site_fract_z
_atom_site_occupancy
Re1 0.250 0.250 0.250 1
Re2 0.750 0.750 0.750 1
Os1 0.500 0.500 0.500 1
Ru1 0.000 0.000 0.000 1
```

**Space group**: R-3m (166)
**ΔE to the lowest computed polymorph**: 0.1500 eV per atom
**Energy**: -11.2914 eV per atom
**Energy of formation from the pure elements**: 5.70 kJ/mol of atoms

---

[2]
Material: ReSbOsRu2
Method: DFT, PBE
State: relaxed

```
data_ReSbOsRu2
_symmetry_space_group_name_H-M 'P 1'
_symmetry_Int_Tables_number 1
_symmetry_space_group_name_Hall 'P 1'
_cell_length_a 4.616
_cell_length_b 4.616
_cell_length_c 4.967
_cell_angle_alpha 90.00
_cell_angle_beta 90.00
_cell_angle_gamma 90.00
loop_
_atom_site_label
_atom_site_fract_x
_atom_site_fract_y
_atom_site_fract_z
_atom_site_occupancy
Re1 0.000 0.000 0.000 1
Sb1 0.000 0.000 0.500 1
Os1 0.500 0.500 0.500 1
Ru1 0.000 0.500 0.000 1
Ru2 0.500 0.000 0.000 1
```

**Space group**: P4/mmm (123)
**Energy**: -7.1719 eV per atom
**E_form (uncorrected)**: 202 kJ per mole of atoms

---

[3]
Material: Sc2ReOsRu
Method: DFT, PBE
State: relaxed

```
data_Sc2ReOsRu
_symmetry_space_group_name_H-M 'P 1'
_symmetry_Int_Tables_number 1
_symmetry_space_group_name_Hall 'P 1'
_cell_length_a 4.889
_cell_length_b 4.889
_cell_length_c 4.654
_cell_angle_alpha 90.00
_cell_angle_beta 90.00
_cell_angle_gamma 90.00
loop_
_atom_site_label
_atom_site_fract_x
_atom_site_fract_y
_atom_site_fract_z
_atom_site_occupancy
Sc1 0.000 0.500 0.000 1
Sc2 0.500 0.000 0.000 1
Re1 0.000 0.000 0.500 1
Os1 0.000 0.000 0.000 1
Ru1 0.500 0.500 0.500 1
```

**Space group**: P4/mmm (123)
**Energy**: -8.0971 eV per atom
**Energy of formation from the pure elements**: 99.02 kJ/mol of atoms